1.
ZrVCo2 | PBE-GGA | relaxed

abc: 4.2910 4.2910 3.1106
angles: 90.00 90.00 90.00
With the nearest neighbours (Å) after each atom.
Space group P4/mmm (No. 123)
Symmetry-distinct sites (fractional):
Zr 0.0000 0.0000 0.0000 x1  8 Co 2.65
V 0.5000 0.5000 0.0000 x1  8 Co 2.65
Co 0.0000 0.5000 0.5000 x2  4 V 2.65, 4 Zr 2.65

## Properties
Its offset from the most stable computed form is 115.1 meV per atom.

2.
ZrVCo2 | PBE-GGA | relaxed

abc: 2.8923 2.8923 6.6508
angles: 90.00 90.00 90.00
With the nearest neighbours (Å) after each atom.
Space group P4/mmm (No. 123)
Symmetry-distinct sites (fractional):
Zr 0.0000 0.0000 0.0000 x1  8 Co 2.87, 4 Zr 2.89
V 0.0000 0.0000 0.5000 x1  8 Co 2.43
Co 0.5000 0.5000 0.3018 x2  4 V 2.43, 1 Co 2.64

## Properties
Its offset from the most stable computed form is 18.3 meV per atom.

3.
ZrVCo | PBE-GGA | relaxed

abc: 3.9141 3.8203 6.6334
angles: 90.00 90.00 90.00
With the nearest neighbours (Å) after each atom.
Space group Amm2 (No. 38)
Symmetry-distinct sites (fractional):
Zr 0.0000 0.0000 0.0000 x2  6 Co 2.95-2.96, 6 V 2.95
V 0.5000 0.0000 0.3332 x2  3 Co 2.21
Co 0.5000 0.0000 0.6662 x2  3 V 2.21

## Properties
Its offset from the most stable computed form is 218.7 meV per atom.

4.
Zr2V2Co15 | PBE-GGA | relaxed

abc: 8.1883 8.1883 12.0628
angles: 90.00 90.00 120.00
With the nearest neighbours (Å) after each atom.
Space group R-3m (No. 166, hexagonal axes)
Symmetry-distinct sites (fractional):
Zr 0.0000 0.0000 0.1540 x6  18 Co 2.88-3.20, 1 V 3.00
V 0.0000 0.0000 0.4025 x6  1 V 2.35, 6 Co 2.51-2.59
Co 0.0000 0.2981 0.5000 x18  8 Co 2.37-2.52
Co 0.0000 0.5000 0.0000 x9  8 Co 2.37-2.38, 2 V 2.51
Co 0.0035 0.5017 0.6522 x18  8 Co 2.37-2.52, 1 V 2.59

5.
ZrVCo | PBE-GGA | relaxed

abc: 4.9177 5.2023 7.1158
angles: 90.00 90.00 90.00
With the nearest neighbours (Å) after each atom.
Space group Imma (No. 74)
Symmetry-distinct sites (fractional):
Zr 0.0000 0.2500 0.1250 x4  6 Co 2.92-2.97, 6 V 2.94-3.01, 4 Zr 3.03-3.15
V 0.2500 0.2500 0.7500 x4  2 V 2.46, 4 Co 2.52
Co 0.0000 0.0000 0.5000 x4  4 V 2.52, 2 Co 2.60

## Properties
Its offset from the most stable computed form is 0.0 meV per atom.

6.
Zr2VCo | PBE-GGA | relaxed

abc: 7.1647 7.1647 5.7627
angles: 90.00 90.00 90.00
With the nearest neighbours (Å) after each atom.
Space group I-42d (No. 122)
Symmetry-distinct sites (fractional):
Zr 0.2131 0.2500 0.1250 x8  2 Co 2.46
V 0.0000 0.0000 0.5000 x4  4 Zr 2.82, 2 Co 2.88
Co 0.0000 0.0000 0.0000 x4  4 Zr 2.46

## Properties
Its offset from the most stable computed form is 406.6 meV per atom.

7.
ZrVCo | PBE-GGA | relaxed

abc: 2.9574 2.9574 10.6036
angles: 90.00 90.00 90.00
With the nearest neighbours (Å) after each atom.
Space group I4mm (No. 107)
Symmetry-distinct sites (fractional):
Zr 0.0000 0.0000 0.0000 x2  5 V 2.94-3.24, 5 Co 2.95-3.22, 4 Zr 2.96
V 0.0000 0.0000 0.6944 x2  4 Co 2.39
Co 0.0000 0.0000 0.3036 x2  4 V 2.39

## Properties
Its offset from the most stable computed form is 151.1 meV per atom.

8.
Zr2VCo3 | PBE-GGA | relaxed

abc: 5.0932 5.0932 11.5442
angles: 90.00 90.00 120.00
With the nearest neighbours (Å) after each atom.
Space group R-3m (No. 166, hexagonal axes)
Symmetry-distinct sites (fractional):
Zr 0.0000 0.0000 0.1268 x6  9 Co 2.80-2.94, 4 Zr 2.93-3.08, 3 V 2.98
V 0.0000 0.0000 0.5000 x3  6 Co 2.42
Co 0.0000 0.5000 0.0000 x9  2 V 2.42, 4 Co 2.55

## Properties
Its offset from the most stable computed form is 0.0 meV per atom.

DFT formation energy (computed, eV/atom): -0.087; -0.184; -0.023; -0.126; -0.242; 0.344; -0.091; -0.327
Size of the total moment (computed, μB/f.u.): 3.14; 0.00; 0.00; 17.63; 0.00; 2.17; 0.30; 0.00
Total DFT energy (no corrections) (computed, eV per atom): -8.0565; -8.1533; -8.2809; -7.5953; -8.4996; -7.9858; -8.3485; -8.2488